[1]
! Nd2Cd4PdPt PBE-GGA optimized geometry; values from VASP
&SYSTEM
  ibrav = 0, nat = 8, ntyp = 4
/
ATOMIC_SPECIES
Nd 144.24 Nd.upf
Cd 112.41 Cd.upf
Pd 106.42 Pd.upf
Pt 195.08 Pt.upf
CELL_PARAMETERS angstrom
8.509 0.000 0.000
0.000 2.138 5.059
0.000 -2.138 5.059
ATOMIC_POSITIONS angstrom
Nd 0.000 0.000 0.000
Nd 4.254 0.000 1.349
Cd 1.730 0.000 7.192
Cd 2.551 0.000 4.310
Cd 5.958 0.000 4.310
Cd 6.778 0.000 7.192
Pd 4.254 0.000 8.543
Pt 0.000 0.000 2.964
! Energy of formation from the pure elements (eV per atom): -0.6079

[2]
The following is a PBE-GGA calculation of Nd2CdSb4Pd after structural relaxation, from OQMD via LeMat-Bulk. Values from VASP.

```
&SYSTEM
  ibrav = 0, nat = 8, ntyp = 4
/
ATOMIC_SPECIES
Nd 144.24 Nd.upf
Cd 112.41 Cd.upf
Sb 121.76 Sb.upf
Pd 106.42 Pd.upf
CELL_PARAMETERS angstrom
4.388 0.000 0.000
0.000 4.388 0.000
0.000 0.000 10.630
ATOMIC_POSITIONS angstrom
Nd 0.000 2.194 2.530
Nd 2.194 0.000 8.100
Cd 0.000 0.000 5.315
Sb 0.000 0.000 0.000
Sb 0.000 2.194 7.203
Sb 2.194 0.000 3.427
Sb 2.194 2.194 0.000
Pd 2.194 2.194 5.315
```

[3]
! PmNdCd PBE-GGA optimized geometry; values from VASP
&SYSTEM
  ibrav = 0, nat = 3, ntyp = 3
/
ATOMIC_SPECIES
Pm 145.00 Pm.upf
Nd 144.24 Nd.upf
Cd 112.41 Cd.upf
CELL_PARAMETERS angstrom
0.000 3.634 3.634
3.634 0.000 3.634
3.634 3.634 0.000
ATOMIC_POSITIONS angstrom
Pm 0.000 0.000 0.000
Nd 5.451 5.451 5.451
Cd 3.634 3.634 3.634
! Energy of formation from the pure elements (eV per atom): 0.4220

Number 1: final energy -3.6502 eV per atom, V 23.01 Å³ per atom. Number 2: final energy -4.7733 eV per atom, V 25.59 Å³ per atom. Number 3: final energy -3.0459 eV per atom, V 32.00 Å³ per atom.